(1)
First-principles (PBE) data for a relaxed ScSiPd2 crystal, as listed in Alexandria via LeMat-Bulk.

Energy relative to the elements, uncorrected = -2.833 eV per formula unit
Spin magnetization = 0.00 μB/cell

```
ScSiPd2
1.0
4.175 0.000 0.000
0.000 4.175 0.000
0.000 0.000 3.653
Sc Si Pd
1 1 2
Cartesian
0.000 0.000 0.000 Sc
2.087 2.087 0.000 Si
0.000 2.087 1.827 Pd
2.087 0.000 1.827 Pd
```

***

(2)
First-principles (PBE) data for a relaxed Na5B7C3 crystal, as listed in Alexandria via LeMat-Bulk.

Energy above the most stable polymorph in this dataset = 13 meV/atom
Energy of formation = 126.3 meV per atom
Spin magnetization = 0.00 μB/cell

```
Na5B7C3
1.0
8.939 -1.415 0.000
8.939 1.415 0.000
-5.286 0.000 12.307
Na B C
10 14 6
Cartesian
0.000 0.000 0.000 Na
-2.577 0.000 6.070 Na
1.458 0.000 4.880 Na
-1.148 0.000 11.066 Na
2.922 0.000 9.826 Na
5.607 0.000 3.641 Na
9.671 0.000 2.445 Na
7.097 0.000 8.549 Na
11.093 0.000 7.347 Na
13.795 0.000 1.223 Na
-3.737 0.000 9.875 B
-0.110 0.000 6.985 B
2.597 0.000 1.179 B
0.404 0.000 8.761 B
3.094 0.000 2.822 B
1.380 0.000 12.142 B
4.449 0.000 7.288 B
8.105 0.000 4.594 B
5.492 0.000 10.926 B
11.248 0.000 0.210 B
9.634 0.000 9.779 B
12.720 0.000 5.069 B
13.692 0.000 8.303 B
16.312 0.000 2.214 B
-1.080 0.000 3.809 C
4.012 0.000 5.816 C
7.132 0.000 1.427 C
8.600 0.000 6.191 C
12.254 0.000 3.548 C
10.085 0.000 11.342 C
```

***

(3)
First-principles (PBE) data for a relaxed Th2ScAl3Zn12 crystal, as listed in Alexandria via LeMat-Bulk.

Energy of formation = -5.9 meV per atom
Spin magnetization = 0.00 μB/cell

```
Th2ScAl3Zn12
1.0
2.892 1.669 12.199
-2.892 1.669 12.199
0.000 -3.339 12.199
Th Sc Al Zn
2 1 3 12
Cartesian
0.000 0.000 5.207 Th
0.000 0.000 31.389 Th
0.000 0.000 18.298 Sc
-1.446 -0.835 12.199 Al
-1.446 0.835 24.397 Al
0.000 1.669 12.199 Al
0.000 -1.821 10.204 Zn
-1.577 0.910 10.204 Zn
-1.486 -0.858 16.135 Zn
-1.577 -0.910 26.392 Zn
0.000 -1.716 20.461 Zn
-1.486 0.858 20.461 Zn
1.486 -0.858 16.135 Zn
0.000 1.716 16.135 Zn
1.577 0.910 10.204 Zn
1.486 0.858 20.461 Zn
1.577 -0.910 26.392 Zn
0.000 1.821 26.392 Zn
```

***

(4)
First-principles (PBE) data for a relaxed Ce2MgAlS6 crystal, as listed in Alexandria via LeMat-Bulk.

Energy relative to the elements, uncorrected = -13.819 eV per formula unit
Spin magnetization = 1.02 μB/cell

```
Ce2MgAlS6
1.0
6.306 0.000 0.000
0.000 6.306 0.000
0.000 0.000 5.984
Ce Mg Al S
2 1 1 6
Cartesian
0.000 3.153 0.000 Ce
3.153 0.000 0.000 Ce
0.000 0.000 3.332 Mg
3.153 3.153 3.463 Al
0.000 0.000 0.928 S
1.616 1.616 4.307 S
1.616 4.690 4.307 S
3.153 3.153 1.198 S
4.690 1.616 4.307 S
4.690 4.690 4.307 S
```

***

(5)
First-principles (PBE) data for a relaxed KLaTa2 crystal, as listed in Alexandria via LeMat-Bulk.

Energy above the most stable polymorph in this dataset = 421 meV/atom
Energy of formation = 975.2 meV per atom
Spin magnetization = 0.00 μB/cell

```
KLaTa2
1.0
3.095 0.000 0.000
0.000 5.637 0.000
-1.469 0.000 7.589
K La Ta
1 1 2
Cartesian
0.000 0.000 0.000 K
-0.734 0.000 3.795 La
0.165 2.819 4.855 Ta
1.461 2.819 2.734 Ta
```

***

(6)
First-principles (PBE) data for a relaxed SrMnCr crystal, as listed in Alexandria via LeMat-Bulk.

Energy above the most stable polymorph in this dataset = 37 meV/atom
Energy of formation = 595.4 meV per atom
Spin magnetization = 0.54 μB/cell

```
SrMnCr
1.0
4.183 0.000 0.000
-2.091 3.623 0.000
0.000 0.000 5.165
Sr Mn Cr
1 1 1
Cartesian
0.000 0.000 0.000 Sr
0.000 2.415 2.582 Mn
2.091 1.208 2.582 Cr
```